The following is a DFT calculation (PBEsol) of a relaxed AsOsRu3 crystal.

As for the density of states at the Fermi level: 1.926 states/eV/atom. The formation energy comes out at 8.2 eV per formula unit.

The structure belongs to space group Pm-3m (No. 221); the cell edges are 4.3675, 4.3675 and 4.3675 Å and the angles 90.00°, 90.00° and 90.00°. Symmetry generates all atoms from As at (0.0000, 0.0000, 0.0000), Os at (0.5000, 0.5000, 0.5000) and Ru at (0.0000, 0.0000, 0.5000).